1.
VASP calculation (GGA-PBE) on crystalline EuAgTe2 at its relaxed geometry.

Results
**Total energy**: -22.171 eV for the cell shown
**ΔE_f (raw)**: -690 meV per atom
**SG**: P4/mmm, No. 123

Cell: 4.0541 5.1866 5.1866 Å, 90.00 90.00 90.00°
Closest atoms and distances in Å follow each position.
Atoms (fractional coordinates):
Eu: 0.5000 0.5000 0.5000  8 Te 3.29, 4 Ag 3.67
Te: 0.0000 0.0000 0.5000  4 Ag 3.29, 4 Eu 3.29, 4 Te 3.67
Te: 0.0000 0.5000 0.0000  4 Eu 3.29, 4 Ag 3.29, 4 Te 3.67
Ag: 0.5000 0.0000 0.0000  8 Te 3.29, 4 Eu 3.67



2.
VASP calculation (GGA-PBE) on crystalline Li2CuAsO4 at its relaxed geometry.

Results
**Total energy**: -88.555 eV for the cell shown
**Energy above the most stable polymorph in this dataset**: 0.001 eV/atom
**ΔE_f (raw)**: -1484 meV per atom
**SG**: Pmn2_1, No. 31

Cell: 5.1811 5.4877 6.4417 Å, 90.00 90.00 90.00°
Closest atoms and distances in Å follow each position.
Atoms (fractional coordinates):
Li: 0.4987 0.3274 0.2493  4 O 1.97-2.01
Li: 0.4987 0.3274 0.7507  4 O 1.97-2.01
Li: 0.9987 0.6726 0.7493  4 O 1.97-2.01
Li: 0.9987 0.6726 0.2507  4 O 1.97-2.01
Cu: 0.4866 0.7902 0.5000  3 O 2.00-2.20
Cu: 0.9866 0.2098 0.0000  3 O 2.00-2.20
As: 0.0056 0.1712 0.5000  4 O 1.72-1.75
As: 0.5056 0.8288 0.0000  4 O 1.72-1.75
O: 0.4020 0.1285 0.0000  1 As 1.73
O: 0.9020 0.8715 0.5000  1 As 1.73
O: 0.3378 0.1881 0.5000  1 As 1.72
O: 0.8378 0.8119 0.0000  1 As 1.72
O: 0.3853 0.6757 0.7832  1 As 1.75
O: 0.8853 0.3243 0.2832  1 As 1.75
O: 0.8853 0.3243 0.7168  1 As 1.75
O: 0.3853 0.6757 0.2168  1 As 1.75



3.
VASP calculation (GGA-PBE) on crystalline AcTb5P6 at its relaxed geometry.

Results
**Total energy**: -78.317 eV for the cell shown
**SG**: C2/m, No. 12
**DFT formation energy**: -1.5499 eV/atom

Cell: 7.1095 7.1133 7.1110 Å, 59.99 80.37 70.46°
Closest atoms and distances in Å follow each position.
Atoms (fractional coordinates):
P: 0.7425 0.0859 0.3455  5 Tb 2.82-2.91, 1 Ac 3.00
P: 0.2575 0.5686 0.3455  5 Tb 2.82-2.91, 1 Ac 3.00
P: 0.2567 0.2599 0.0000  5 Tb 2.81-2.90, 1 Ac 3.00
P: 0.7433 0.7401 0.0000  5 Tb 2.81-2.90, 1 Ac 3.00
P: 0.7425 0.4314 0.6545  5 Tb 2.82-2.91, 1 Ac 3.00
P: 0.2575 0.9141 0.6545  5 Tb 2.82-2.91, 1 Ac 3.00
Ac: 0.0000 0.0000 0.0000  6 P 3.00
Tb: 0.5000 0.1650 0.6701  6 P 2.82-2.91
Tb: 0.0000 0.3327 0.3345  6 P 2.89-2.90
Tb: 0.5000 0.5000 0.0000  6 P 2.81-2.91
Tb: 0.0000 0.6673 0.6655  6 P 2.89-2.90
Tb: 0.5000 0.8350 0.3299  6 P 2.82-2.91



4.
VASP calculation (GGA-PBE) on crystalline KZrFe at its relaxed geometry.

Results
**Total energy**: -13.970 eV for the cell shown
**Energy above the most stable polymorph in this dataset**: 0.779 eV/atom
**SG**: F-43m, No. 216
**DFT formation energy**: 1.3796 eV/atom

Cell: 4.7913 4.7913 4.7913 Å, 60.00 60.00 60.00°
Closest atoms and distances in Å follow each position.
Atoms (fractional coordinates):
Fe: 0.7500 0.7500 0.7500  4 K 2.93, 4 Zr 2.93
K: 0.0000 0.0000 0.0000  4 Fe 2.93
Zr: 0.5000 0.5000 0.5000  4 Fe 2.93